! La7PmTm12 (PBE, optimized geometry); values from VASP
&SYSTEM
  ibrav = 0, nat = 20, ntyp = 3
/
ATOMIC_SPECIES
La 138.91 La.upf
Pm 145.00 Pm.upf
Tm 168.93 Tm.upf
ATOMIC_POSITIONS crystal
La 0.0000 0.0000 0.5000
La 0.0000 0.5000 0.0000
La 0.0000 0.5000 0.5000
La 0.5000 0.0000 0.0000
La 0.5000 0.0000 0.5000
La 0.5000 0.5000 0.0000
La 0.5000 0.5000 0.5000
Pm 0.0000 0.0000 0.0000
Tm 0.0007 0.2480 0.7527
Tm 0.2473 0.4953 0.2480
Tm 0.2473 0.9993 0.7520
Tm 0.2480 0.2473 0.4953
Tm 0.2480 0.7527 0.0007
Tm 0.4953 0.2480 0.2473
Tm 0.5047 0.7520 0.7527
Tm 0.7520 0.2473 0.9993
Tm 0.7520 0.7527 0.5047
Tm 0.7527 0.0007 0.2480
Tm 0.7527 0.5047 0.7520
Tm 0.9993 0.7520 0.2473
CELL_PARAMETERS angstrom
-5.6439 5.6439 5.6439
5.6439 -5.6439 5.6439
5.6439 5.6439 -5.6439
! DOS(E_F) (states/eV per atom): 1.57
! SG: No. 204
! Formation energy (eV/atom): 0.63
! Raw total energy (eV per atom): -4.0100